[1]
Computed, not measured: crystalline LiPr4Nd3S8 at its relaxed geometry at the PBE level of DFT.

a = 8.1323 Å, b = 8.1323 Å, c = 19.9400 Å
α = 90.00°, β = 90.00°, γ = 120.00°
Space group R-3m (No. 166, hexagonal axes)
One atom of each set of equivalent atoms:
Li 0.0000 0.0000 0.0000
Pr 0.0000 0.0000 0.5000
Pr 0.0000 0.5000 0.5000
Nd 0.0000 0.5000 0.0000
S 0.0000 0.0000 0.2511
S 0.0082 0.5041 0.7469

Uncorrected formation energy ... -1.961 eV per atom
Calculated total energy ... -299.172 eV/cell
V ... 1142 Å³/cell



[2]
Computed, not measured: crystalline LaInW2 at its relaxed geometry at the PBE level of DFT.

a = 3.409 Å, b = 5.055 Å, c = 10.411 Å
α = 90.00°, β = 90.00°, γ = 90.00°
Space group Imm2 (No. 44)
One atom of each set of equivalent atoms:
La 0.000 0.000 0.000
In 0.000 0.500 0.215
W 0.000 0.000 0.451
W 0.000 0.500 0.774

Calculated total energy ... -62.689 eV/cell
DFT formation energy ... 0.557 eV/atom
V ... 179 Å³/cell



[3]
Computed, not measured: crystalline MgTlSi2 at its relaxed geometry at the PBE level of DFT.

a = 4.193 Å, b = 4.193 Å, c = 9.165 Å
α = 90.00°, β = 90.00°, γ = 90.00°
Space group I4/mmm (No. 139)
One atom of each set of equivalent atoms:
Mg 0.000 0.000 0.000
Tl 0.000 0.000 0.500
Si 0.000 0.500 0.250

Uncorrected formation energy ... 0.411 eV per atom
ΔE to the lowest computed polymorph ... 0.2535 eV/atom
Calculated total energy ... -26.323 eV/cell
V ... 161 Å³/cell